A relaxed structure of Rb6ThF12, computed with GGA-PBE.

Structure (extended XYZ):
```
19
Lattice="7.7372 0.1673 -1.4573 -1.7870 7.5299 -1.4573 0.1293 0.1673 7.8722" Properties=species:S:1:pos:R:3 pbc="T T T"
Rb 1.5757 6.5158 3.8431
F 0.1182 4.4046 2.5509
Rb 1.1262 4.6983 -0.0571
F 5.6259 0.4552 6.3145
F 0.0906 2.3052 7.1847
Rb 5.2777 5.5911 0.7702
F 3.3504 1.2239 3.6330
F 0.4536 7.4092 -1.3569
F 2.7291 6.6405 1.3246
F 5.9613 3.4598 2.4068
Rb 4.9534 3.1661 5.0148
Rb 0.8018 2.2733 4.1875
F 3.6272 3.5506 -0.3975
F 2.4523 4.3138 5.3551
F -1.4026 7.1961 4.2403
Rb 4.5038 1.3486 1.1146
F 5.9889 5.5592 -2.2271
F 7.4821 0.6683 0.7173
Th 0.0000 0.0000 0.0000
```

## Properties
DOS(E_F)   8.1 states/eV/f.u.
Crystal system   trigonal
Calculated volume   24.46 Å³ per atom
Uncorrected formation energy   -2820.6 meV/atom
Mass density   3.476 Mg/m³



A relaxed structure of RbThF5, computed with GGA-PBE.

Structure (extended XYZ):
```
14
Lattice="-1.4918 4.1255 1.4913 1.5619 -1.2747 5.9928 7.2117 5.4310 -0.6119" Properties=species:S:1:pos:R:3 pbc="T T T"
F 0.8048 0.6010 2.7165
F -0.5295 3.3046 1.6030
F 6.4770 7.6808 4.1558
Th 6.4253 4.6142 1.0871
Th 0.8565 3.6676 5.7852
F 2.7423 4.1108 6.8949
F 2.1109 1.8201 4.9528
Rb 4.7501 5.3157 5.1209
F 4.5395 4.1711 -0.0226
F 5.1925 3.7373 2.7289
Rb 2.5318 2.9662 1.7513
F 2.0893 4.5446 4.1434
F 7.8113 4.9773 5.2692
F 5.1709 6.4618 1.9195
```

## Properties
DOS(E_F)   0.0 states/eV/f.u.
Crystal system   monoclinic
Calculated volume   18.29 Å³ per atom
Uncorrected formation energy   -3818.8 meV/atom
Mass density   5.351 Mg/m³



A relaxed structure of RbTiF2, computed with GGA-PBE.

Structure (extended XYZ):
```
4
Lattice="0.0000 3.2596 3.2596 3.2596 0.0000 3.2596 3.2596 3.2596 0.0000" Properties=species:S:1:pos:R:3 pbc="T T T"
Rb 3.2596 3.2596 3.2596
F 1.6298 1.6298 1.6298
Ti 0.0000 0.0000 0.0000
F 4.8894 4.8894 4.8894
```

## Properties
DOS(E_F)   2.1 states/eV/f.u.
Crystal system   cubic
Calculated volume   17.32 Å³ per atom
Uncorrected formation energy   -1307.3 meV/atom
Mass density   4.107 Mg/m³



Repeat the third record exactly.
A relaxed structure of RbTiF2, computed with GGA-PBE.

Structure (extended XYZ):
```
4
Lattice="0.0000 3.2596 3.2596 3.2596 0.0000 3.2596 3.2596 3.2596 0.0000" Properties=species:S:1:pos:R:3 pbc="T T T"
Rb 3.2596 3.2596 3.2596
F 1.6298 1.6298 1.6298
Ti 0.0000 0.0000 0.0000
F 4.8894 4.8894 4.8894
```

## Properties
DOS(E_F)   2.1 states/eV/f.u.
Crystal system   cubic
Calculated volume   17.32 Å³ per atom
Uncorrected formation energy   -1307.3 meV/atom
Mass density   4.107 Mg/m³



Q: The highest calculated volume belongs to which entry?
A: Rb6ThF12



Repeat the third record exactly.
A relaxed structure of RbTiF2, computed with GGA-PBE.

Structure (extended XYZ):
```
4
Lattice="0.0000 3.2596 3.2596 3.2596 0.0000 3.2596 3.2596 3.2596 0.0000" Properties=species:S:1:pos:R:3 pbc="T T T"
Rb 3.2596 3.2596 3.2596
F 1.6298 1.6298 1.6298
Ti 0.0000 0.0000 0.0000
F 4.8894 4.8894 4.8894
```

## Properties
DOS(E_F)   2.1 states/eV/f.u.
Crystal system   cubic
Calculated volume   17.32 Å³ per atom
Uncorrected formation energy   -1307.3 meV/atom
Mass density   4.107 Mg/m³